1.
ScBe2Cl: relaxed, PBE.

Calculated values
calculated total energy = -3.80 eV/atom
relative energy among the computed polymorphs = 0.379 eV/atom
total moment = 0.00 μB per formula unit
symmetry = No. 10
formation energy (no corrections) = 0.11 eV per atom

a b c (Å): 2.934 5.505 4.027
angles (deg): 90.00 91.06 90.00
Atoms (fractional coordinates):
1 Sc 0.000 0.000 0.000
2 Be 0.256 0.500 0.789
3 Be 0.744 0.500 0.211
4 Cl 0.500 0.000 0.500

---

2.
ScBe2Cl: relaxed, PBE.

Calculated values
calculated total energy = -3.60 eV/atom
relative energy among the computed polymorphs = 0.582 eV/atom
total moment = 0.00 μB per formula unit
symmetry = No. 216
formation energy (no corrections) = 0.31 eV per atom

a b c (Å): 6.210 6.210 6.210
angles (deg): 90.00 90.00 90.00
Atoms (fractional coordinates):
1 Sc 0.000 0.000 0.000
2 Sc 0.000 0.500 0.500
3 Sc 0.500 0.000 0.500
4 Sc 0.500 0.500 0.000
5 Be 0.000 0.000 0.500
6 Be 0.000 0.500 0.000
7 Be 0.250 0.250 0.250
8 Be 0.250 0.750 0.750
9 Be 0.500 0.000 0.000
10 Be 0.500 0.500 0.500
11 Be 0.750 0.250 0.750
12 Be 0.750 0.750 0.250
13 Cl 0.250 0.250 0.750
14 Cl 0.250 0.750 0.250
15 Cl 0.750 0.250 0.250
16 Cl 0.750 0.750 0.750

---

3.
ScBeCl2: relaxed, PBE.

Calculated values
calculated total energy = -4.05 eV/atom
relative energy among the computed polymorphs = 0.305 eV/atom
total moment = 0.45 μB per formula unit
symmetry = No. 166
formation energy (no corrections) = -0.61 eV per atom

a b c (Å): 3.375 3.375 30.927
angles (deg): 90.00 90.00 120.00
Atoms (fractional coordinates):
1 Sc 0.000 0.000 0.000
2 Sc 0.333 0.667 0.667
3 Sc 0.667 0.333 0.333
4 Be 0.000 0.000 0.500
5 Be 0.333 0.667 0.167
6 Be 0.667 0.333 0.833
7 Cl 0.000 0.000 0.280
8 Cl 0.000 0.000 0.720
9 Cl 0.333 0.667 0.386
10 Cl 0.333 0.667 0.947
11 Cl 0.667 0.333 0.053
12 Cl 0.667 0.333 0.614

---

4.
ScBe2Cl: relaxed, PBE.

Calculated values
calculated total energy = -3.64 eV/atom
relative energy among the computed polymorphs = 0.539 eV/atom
total moment = 0.00 μB per formula unit
symmetry = No. 47
formation energy (no corrections) = 0.27 eV per atom

a b c (Å): 3.321 4.038 5.008
angles (deg): 90.00 90.00 90.00
Atoms (fractional coordinates):
1 Sc 0.000 0.000 0.000
2 Be 0.500 0.500 0.199
3 Be 0.500 0.500 0.801
4 Cl 0.000 0.000 0.500

---

5.
Sc2BeCl: relaxed, PBE.

Calculated values
calculated total energy = -4.80 eV/atom
relative energy among the computed polymorphs = 0.334 eV/atom
total moment = 0.35 μB per formula unit
symmetry = No. 99
formation energy (no corrections) = -0.24 eV per atom

a b c (Å): 3.161 3.161 9.434
angles (deg): 90.00 90.00 90.00
Atoms (fractional coordinates):
1 Sc 0.000 0.000 0.000
2 Sc 0.500 0.500 0.264
3 Be 0.000 0.000 0.427
4 Cl 0.500 0.500 0.839

---

6.
ScBeCl2: relaxed, PBE.

Calculated values
calculated total energy = -3.85 eV/atom
relative energy among the computed polymorphs = 0.499 eV/atom
total moment = 0.00 μB per formula unit
symmetry = No. 65
formation energy (no corrections) = -0.42 eV per atom

a b c (Å): 3.458 5.676 10.175
angles (deg): 90.00 90.00 90.00
Atoms (fractional coordinates):
1 Sc 0.000 0.000 0.000
2 Sc 0.500 0.500 0.000
3 Be 0.000 0.000 0.500
4 Be 0.500 0.500 0.500
5 Cl 0.000 0.500 0.180
6 Cl 0.000 0.500 0.820
7 Cl 0.500 0.000 0.180
8 Cl 0.500 0.000 0.820

---

7.
ScBe3Cl: relaxed, PBE.

Calculated values
calculated total energy = -2.22 eV/atom
relative energy among the computed polymorphs = 0.691 eV/atom
total moment = 0.00 μB per formula unit
symmetry = No. 221
formation energy (no corrections) = 1.65 eV per atom

a b c (Å): 5.197 5.197 5.197
angles (deg): 90.00 90.00 90.00
Atoms (fractional coordinates):
1 Sc 0.000 0.000 0.000
2 Be 0.000 0.000 0.500
3 Be 0.000 0.500 0.000
4 Be 0.500 0.000 0.000
5 Cl 0.500 0.500 0.500

---

8.
Sc2BeCl: relaxed, PBE.

Calculated values
calculated total energy = -4.86 eV/atom
relative energy among the computed polymorphs = 0.275 eV/atom
total moment = 0.25 μB per formula unit
symmetry = No. 12
formation energy (no corrections) = -0.30 eV per atom

a b c (Å): 6.885 7.005 3.106
angles (deg): 90.00 105.16 90.00
Atoms (fractional coordinates):
1 Sc 0.250 0.250 0.000
2 Sc 0.250 0.750 0.000
3 Sc 0.750 0.250 0.000
4 Sc 0.750 0.750 0.000
5 Be 0.000 0.000 0.500
6 Be 0.500 0.500 0.500
7 Cl 0.000 0.500 0.500
8 Cl 0.500 0.000 0.500